Entry 1:
First-principles (GGA-PBE) data for a relaxed Cs12K6Rb crystal, as listed in the Alexandria database.

total moment	0.0	μB per formula unit
polymorph energy (0 for the lowest one)	0.0	meV per atom

Lattice parameters (Å, degrees): 17.3450 17.3450 22.2426 90.00 90.00 120.00
Space group R-3 (No. 148, hexagonal axes)
Asymmetric unit:
Cs  0.0359  0.8467  0.3111 (multiplicity 18)
Cs  0.0601  0.2184  0.9135 (multiplicity 18)
K  0.0357  0.5919  0.2003 (multiplicity 18)
Rb  0.0000  0.0000  0.5000 (multiplicity 3)



Entry 2:
First-principles (GGA-PBE) data for a relaxed Tl2Zn crystal, as listed in the Alexandria database.

total moment	0.0	μB per formula unit
polymorph energy (0 for the lowest one)	44.1	meV per atom

Lattice parameters (Å, degrees): 8.3116 8.3116 3.9669 90.00 90.00 120.00
Space group P-62m (No. 189)
Asymmetric unit:
Tl  0.0000  0.2653  0.0000 (multiplicity 3)
Tl  0.0000  0.5976  0.5000 (multiplicity 3)
Zn  0.0000  0.0000  0.5000 (multiplicity 1)
Zn  0.3333  0.6667  0.0000 (multiplicity 2)



Entry 3:
First-principles (GGA-PBE) data for a relaxed Ba2La2O5 crystal, as listed in the Alexandria database.

total moment	0.0	μB per formula unit
ΔE_f (raw)	-2977	meV per atom

Lattice parameters (Å, degrees): 6.609 17.419 6.638 90.00 90.00 90.00
Space group Pnma (No. 62)
Asymmetric unit:
Ba  0.040  0.111  0.018 (multiplicity 8)
La  0.000  0.000  0.500 (multiplicity 4)
La  0.054  0.250  0.550 (multiplicity 4)
O  0.049  0.640  0.595 (multiplicity 8)
O  0.097  0.750  0.135 (multiplicity 4)
O  0.204  0.523  0.204 (multiplicity 8)



Entry 4:
First-principles (GGA-PBE) data for a relaxed AuSeO2F crystal, as listed in the Alexandria database.

total moment	1.3	μB per formula unit
ΔE_f (raw)	440	meV per atom

Lattice parameters (Å, degrees): 4.158 4.158 4.230 90.00 90.00 90.00
Space group P4/mmm (No. 123)
Asymmetric unit:
Au  0.000  0.000  0.000 (multiplicity 1)
Se  0.500  0.500  0.500 (multiplicity 1)
O  0.000  0.500  0.000 (multiplicity 2)
F  0.000  0.000  0.500 (multiplicity 1)



Entry 5:
First-principles (GGA-PBE) data for a relaxed Zn2CdBi2 crystal, as listed in the Alexandria database.

total moment	0.0	μB per formula unit
polymorph energy (0 for the lowest one)	24.9	meV per atom

Lattice parameters (Å, degrees): 7.360 7.360 4.451 90.00 90.00 90.00
Space group P4/mbm (No. 127)
Asymmetric unit:
Zn  0.122  0.378  0.000 (multiplicity 4)
Cd  0.000  0.000  0.000 (multiplicity 2)
Bi  0.191  0.691  0.500 (multiplicity 4)



Entry 6:
First-principles (GGA-PBE) data for a relaxed K3Ho3PtO8 crystal, as listed in the Alexandria database.

total moment	0.0	μB per formula unit
ΔE_f (raw)	-2346	meV per atom

Lattice parameters (Å, degrees): 6.7544 6.7544 18.8223 90.00 90.00 120.00
Space group R-3m (No. 166, hexagonal axes)
Asymmetric unit:
K  0.0000  0.5000  0.0000 (multiplicity 9)
Ho  0.0000  0.5000  0.5000 (multiplicity 9)
Pt  0.0000  0.0000  0.5000 (multiplicity 3)
O  0.0000  0.0000  0.2270 (multiplicity 6)
O  0.0226  0.5113  0.2252 (multiplicity 18)



Entry 7:
First-principles (GGA-PBE) data for a relaxed CoSi2Hg crystal, as listed in the Alexandria database.

total moment	0.0	μB per formula unit
ΔE_f (raw)	36	meV per atom

Lattice parameters (Å, degrees): 6.659 3.839 6.758 90.00 109.96 90.00
Space group C2/m (No. 12)
Asymmetric unit:
Co  0.000  0.000  0.000 (multiplicity 2)
Si  0.136  0.500  0.910 (multiplicity 4)
Hg  0.000  0.500  0.500 (multiplicity 2)



Entry 8:
First-principles (GGA-PBE) data for a relaxed LiTaNi crystal, as listed in the Alexandria database.

total moment	0.9	μB per formula unit
polymorph energy (0 for the lowest one)	332.9	meV per atom

Lattice parameters (Å, degrees): 5.748 5.748 5.748 90.00 90.00 90.00
Space group F-43m (No. 216)
Asymmetric unit:
Li  0.000  0.000  0.000 (multiplicity 4)
Ta  0.000  0.000  0.500 (multiplicity 4)
Ni  0.250  0.250  0.250 (multiplicity 4)



Entry 9:
First-principles (GGA-PBE) data for a relaxed CrIr3Cl crystal, as listed in the Alexandria database.

total moment	0.0	μB per formula unit
ΔE_f (raw)	1656	meV per atom
polymorph energy (0 for the lowest one)	0.0	meV per atom

Lattice parameters (Å, degrees): 4.544 4.544 4.544 90.00 90.00 90.00
Space group Pm-3m (No. 221)
Asymmetric unit:
Cr  0.000  0.000  0.000 (multiplicity 1)
Ir  0.000  0.000  0.500 (multiplicity 3)
Cl  0.500  0.500  0.500 (multiplicity 1)



Entry 10:
First-principles (GGA-PBE) data for a relaxed Y2Co3Cu14 crystal, as listed in the Alexandria database.

total moment	2.2	μB per formula unit
raw total energy	-185.7	eV for the cell shown

Lattice parameters (Å, degrees): 8.4931 8.4931 8.2561 90.00 90.00 120.00
Space group P6_3/mmc (No. 194)
Asymmetric unit:
Y  0.0000  0.0000  0.2500 (multiplicity 2)
Y  0.3333  0.6667  0.2500 (multiplicity 2)
Co  0.0000  0.5000  0.0000 (multiplicity 6)
Cu  0.0394  0.3711  0.7500 (multiplicity 12)
Cu  0.1665  0.3330  0.0185 (multiplicity 12)
Cu  0.3333  0.6667  0.6011 (multiplicity 4)



Entry 11:
First-principles (GGA-PBE) data for a relaxed Ce2H5Rh2 crystal, as listed in the Alexandria database.

total moment	1.9	μB per formula unit
raw total energy	-96.0	eV for the cell shown

Lattice parameters (Å, degrees): 5.167 5.198 8.338 71.93 72.01 89.99
Space group P-1 (No. 2)
Asymmetric unit:
Ce  0.124  0.130  0.240 (multiplicity 2)
Ce  0.363  0.370  0.760 (multiplicity 2)
H  0.000  0.000  0.000 (multiplicity 1)
H  0.000  0.500  0.000 (multiplicity 1)
H  0.138  0.625  0.249 (multiplicity 2)
H  0.251  0.251  0.498 (multiplicity 2)
H  0.251  0.751  0.498 (multiplicity 2)
H  0.387  0.875  0.751 (multiplicity 2)
Rh  0.000  0.500  0.500 (multiplicity 1)
Rh  0.289  0.751  0.000 (multiplicity 2)
Rh  0.500  0.000  0.500 (multiplicity 1)



Entry 12:
First-principles (GGA-PBE) data for a relaxed Sm3Sc5Se12 crystal, as listed in the Alexandria database.

total moment	0.0	μB per formula unit
ΔE_f (raw)	-1641	meV per atom

Lattice parameters (Å, degrees): 16.402 16.402 16.402 90.00 90.00 90.00
Space group Ia-3d (No. 230)
Asymmetric unit:
Sm  0.000  0.250  0.125 (multiplicity 24)
Sc  0.000  0.000  0.000 (multiplicity 16)
Sc  0.000  0.250  0.375 (multiplicity 24)
Se  0.025  0.064  0.651 (multiplicity 96)